VASP calculation (PBE+U) on a relaxed CrAuSeF2 crystal.

The structure belongs to space group P4/mmm (No. 123); the cell edges are 3.869, 3.869 and 5.758 Å and the angles 90.00°, 90.00° and 90.00°. The distinct sites, in fractional coordinates, are Cr at (0.000, 0.000, 0.000), Au at (0.500, 0.500, 0.500), Se at (0.000, 0.000, 0.500) and F at (0.000, 0.500, 0.000).

The value obtained for the total energy is -5.04 eV/atom. The value obtained for the calculated density is 7.0 g cm⁻³. As for the total magnetization: 0.702 μB per atom.